[1]
Computed, not measured: a geometry-optimized AcBiAs2 structure at the PBE-GGA level of DFT.

Properties
ΔE to the lowest computed polymorph = 3.9 kJ/mol of atoms
E_form = -0.677 eV/atom
uncorrected energy = -4.9996 eV per atom
magnetization = 0.0 μB/f.u.

a = 4.439 Å, b = 4.439 Å, c = 7.584 Å
α = 72.98°, β = 72.98°, γ = 60.00°
Sites, in units of the cell vectors:
As  0.747  0.747  0.760
Ac  0.500  0.500  0.500
Bi  0.000  0.000  0.000
As  0.253  0.253  0.240

[2]
Computed, not measured: a geometry-optimized Al2RuCl structure at the PBE-GGA level of DFT.

Properties
ΔE to the lowest computed polymorph = 0.0 kJ/mol of atoms
uncorrected energy = -5.2723 eV per atom
formation energy without anion corrections = -0.620 eV/atom
magnetization = 0.0 μB/f.u.

a = 3.016 Å, b = 3.090 Å, c = 7.217 Å
α = 90.00°, β = 90.00°, γ = 90.00°
Sites, in units of the cell vectors:
Ru  0.500  0.750  0.750
Al  0.000  0.250  0.943
Cl  0.500  0.250  0.250
Al  0.000  0.250  0.557